A relaxed AlInCu2 crystal, computed with PBE-GGA.

Cell lengths 6.2645, 6.2645, 6.2645 Å; angles 90.00, 90.00, 90.00 degrees
Element x y z (fractional)
Cu (0.2710, 0.7290, 0.7290)
Cu (0.7290, 0.2710, 0.7290)
Cu (0.2710, 0.7290, 0.2710)
Cu (0.2710, 0.2710, 0.7290)
Cu (0.7290, 0.7290, 0.2710)
Cu (0.7290, 0.7290, 0.7290)
Cu (0.7290, 0.2710, 0.2710)
Cu (0.2710, 0.2710, 0.2710)
In (0.0000, 0.0000, 0.0000)
In (0.0000, 0.5000, 0.0000)
In (0.5000, 0.0000, 0.0000)
In (0.0000, 0.0000, 0.5000)
Al (0.5000, 0.5000, 0.5000)
Al (0.5000, 0.0000, 0.5000)
Al (0.0000, 0.5000, 0.5000)
Al (0.5000, 0.5000, 0.0000)

Computed properties:
* V: 15.4 Å³ per atom
* calculated total energy: -3.45 eV per atom